No. 1
The following is a DFT calculation (PBE) of a geometry-optimized Pr6Tm4Sc structure.

Raw total energy, eV for the cell shown: -99.7
Magnetic moment, μB per formula unit: 0.000
Crystal system: tetragonal
E_form, meV/atom: 278

Geometry as CIF:
```
data_Pr6Tm4Sc
_chemical_formula_sum 'Pr12 Tm8 Sc2'
_symmetry_space_group_name_H-M 'I -4 2 m'
_symmetry_Int_Tables_number 121
_symmetry_space_group_name_Hall 'I -4 2'
_cell_length_a 6.556
_cell_length_b 6.556
_cell_length_c 17.459
_cell_angle_alpha 90.00
_cell_angle_beta 90.00
_cell_angle_gamma 90.00
loop_
_atom_site_label
_atom_site_type_symbol
_atom_site_fract_x
_atom_site_fract_y
_atom_site_fract_z
Pr1 Pr 0.000 0.500 0.000
Pr2 Pr 0.178 0.178 0.361
Tm1 Tm 0.182 0.182 0.170
Sc1 Sc 0.000 0.000 0.000
```

=====

No. 2
The following is a DFT calculation (PBE) of a geometry-optimized Pr3TmSc structure.

Raw total energy, eV for the cell shown: -97.4
Magnetic moment, μB per formula unit: 0.000
Crystal system: orthorhombic
E_form, meV/atom: 159

Geometry as CIF:
```
data_Pr3TmSc
_chemical_formula_sum 'Pr12 Tm4 Sc4'
_symmetry_space_group_name_H-M 'P b c m'
_symmetry_Int_Tables_number 57
_cell_length_a 3.544
_cell_length_b 17.541
_cell_length_c 10.753
_cell_angle_alpha 90.00
_cell_angle_beta 90.00
_cell_angle_gamma 90.00
loop_
_symmetry_equiv_pos_as_xyz
'x,y,z'
'-x,-y,-z'
'-x,-y,z+1/2'
'x,y,-z+1/2'
'x,-y+1/2,-z'
'-x,y+1/2,z'
'-x,y+1/2,-z+1/2'
'x,-y+1/2,z+1/2'
loop_
_atom_site_label
_atom_site_type_symbol
_atom_site_fract_x
_atom_site_fract_y
_atom_site_fract_z
Pr1 Pr 0.245 0.250 0.000
Pr2 Pr 0.254 0.577 0.061
Tm1 Tm 0.242 0.105 0.750
Sc1 Sc 0.257 0.729 0.250
```